#A
## SiTc3I (PBE-GGA)

Data for SiTc3I after structural relaxation.

Properties
For the density of states at the Fermi level, the calculation gives 4.88 states/eV/cell. The total magnetic moment comes out at 3.9 Bohr magnetons per cell. The calculation puts the mass density at 6.61 g/cm³. Its volume is 112.9 Å³/f.u.

a = 4.8325 Å, b = 4.8325 Å, c = 4.8325 Å
α = 90.00°, β = 90.00°, γ = 90.00°
Last column: nearest neighbours and their distance in Å.
Fractional coordinates of all 5 atoms:
I: 0.0000 0.0000 0.0000  6 Tc 2.42
Si: 0.5000 0.5000 0.5000  12 Tc 3.42
Tc: 0.0000 0.5000 0.0000  2 I 2.42
Tc: 0.0000 0.0000 0.5000  2 I 2.42
Tc: 0.5000 0.0000 0.0000  2 I 2.42


#B
## SiTc3I (PBE-GGA)

Data for SiTc3I after structural relaxation.

Properties
For the density of states at the Fermi level, the calculation gives 5.35 states/eV/cell. The total magnetic moment comes out at 1.3 Bohr magnetons per cell. The calculation puts the mass density at 8.03 g/cm³. Its volume is 92.8 Å³/f.u.

a = 4.5281 Å, b = 4.5281 Å, c = 4.5281 Å
α = 90.00°, β = 90.00°, γ = 90.00°
Last column: nearest neighbours and their distance in Å.
Fractional coordinates of all 5 atoms:
I: 0.5000 0.5000 0.5000  12 Tc 3.20
Si: 0.0000 0.0000 0.0000  6 Tc 2.26
Tc: 0.0000 0.5000 0.0000  2 Si 2.26
Tc: 0.0000 0.0000 0.5000  2 Si 2.26
Tc: 0.5000 0.0000 0.0000  2 Si 2.26


Tell me which of them is the least stable. Sure, it is #A.


#A
## SiTcTe2I (PBE-GGA)

Data for SiTcTe2I after structural relaxation.

Properties
For the density of states at the Fermi level, the calculation gives 6.26 states/eV/cell. The total magnetic moment comes out at 0.7 Bohr magnetons per cell. The calculation puts the mass density at 5.66 g/cm³. Its volume is 149.1 Å³/f.u.

a = 5.1327 Å, b = 5.1327 Å, c = 5.6590 Å
α = 90.00°, β = 90.00°, γ = 90.00°
Last column: nearest neighbours and their distance in Å.
Fractional coordinates of all 5 atoms:
I: 0.0000 0.0000 0.5000  2 Tc 2.83
Si: 0.5000 0.5000 0.5000  4 I 3.63, 8 Te 3.82
Te: 0.0000 0.5000 0.0000  2 Tc 2.57
Te: 0.5000 0.0000 0.0000  2 Tc 2.57
Tc: 0.0000 0.0000 0.0000  4 Te 2.57, 2 I 2.83


#B
## SiTcTe2I (PBE-GGA)

Data for SiTcTe2I after structural relaxation.

Properties
For the density of states at the Fermi level, the calculation gives 1.94 states/eV/cell. The total magnetic moment comes out at 4.9 Bohr magnetons per cell. The calculation puts the mass density at 5.51 g/cm³. Its volume is 153.0 Å³/f.u.

a = 5.3106 Å, b = 5.3106 Å, c = 5.4265 Å
α = 90.00°, β = 90.00°, γ = 90.00°
Last column: nearest neighbours and their distance in Å.
Fractional coordinates of all 5 atoms:
I: 0.0000 0.0000 0.5000  2 Si 2.71
Si: 0.0000 0.0000 0.0000  4 Te 2.66, 2 I 2.71
Te: 0.0000 0.5000 0.0000  2 Si 2.66
Te: 0.5000 0.0000 0.0000  2 Si 2.66
Tc: 0.5000 0.5000 0.5000  4 I 3.76, 8 Te 3.80


Tell me which of them is the least stable. Sure, it is #B.


#A
## SiTe2I (PBE-GGA)

Data for SiTe2I after structural relaxation.

Properties
For the density of states at the Fermi level, the calculation gives 3.33 states/eV/cell. The total magnetic moment comes out at 0.0 Bohr magnetons per cell. The calculation puts the mass density at 6.27 g/cm³. Its volume is 108.5 Å³/f.u.

a = 5.3544 Å, b = 5.3544 Å, c = 5.3544 Å
α = 60.00°, β = 60.00°, γ = 60.00°
Last column: nearest neighbours and their distance in Å.
Fractional coordinates of all 4 atoms:
I: 0.5000 0.5000 0.5000  8 Te 3.28
Si: 0.0000 0.0000 0.0000  8 Te 3.28
Te: 0.2500 0.2500 0.2500  4 I 3.28, 4 Si 3.28
Te: 0.7500 0.7500 0.7500  4 I 3.28, 4 Si 3.28


#B
## SiTe2I (PBE-GGA)

Data for SiTe2I after structural relaxation.

Properties
For the density of states at the Fermi level, the calculation gives 3.35 states/eV/cell. The total magnetic moment comes out at 0.0 Bohr magnetons per cell. The calculation puts the mass density at 5.72 g/cm³. Its volume is 119.2 Å³/f.u.

a = 13.0228 Å, b = 13.0228 Å, c = 13.0228 Å
α = 14.42°, β = 14.42°, γ = 14.42°
Last column: nearest neighbours and their distance in Å.
Fractional coordinates of all 4 atoms:
I: 0.5000 0.5000 0.5000  6 I 3.27
Si: 0.0000 0.0000 0.0000  2 Te 2.64
Te: 0.0682 0.0682 0.0682  1 Si 2.64
Te: 0.9318 0.9318 0.9318  1 Si 2.64


Tell me which of them is the least stable. Sure, it is #A.


#A
## SiTe2I (PBE-GGA)

Data for SiTe2I after structural relaxation.

Properties
The total magnetic moment comes out at 0.0 Bohr magnetons per cell. The calculation puts the mass density at 4.53 g/cm³. Its volume is 150.2 Å³/f.u.

a = 5.4135 Å, b = 6.5149 Å, c = 17.0409 Å
α = 90.13°, β = 90.00°, γ = 90.00°
Last column: nearest neighbours and their distance in Å.
Fractional coordinates of all 16 atoms:
Si: 0.0000 0.2398 0.5000  4 Te 2.54-2.65
Si: 0.0000 0.7602 0.5000  4 Te 2.54-2.65
Si: 0.5000 0.2602 0.0000  4 Te 2.54-2.65
Si: 0.5000 0.7398 0.0000  4 Te 2.54-2.65
Te: 0.8120 0.9997 0.9337  2 Si 2.65
Te: 0.1880 0.0003 0.0663  2 Si 2.65
Te: 0.3120 0.5003 0.5663  2 Si 2.65
Te: 0.6880 0.4997 0.4337  2 Si 2.65
Te: 0.6630 0.5007 0.1057  2 Si 2.54
Te: 0.3370 0.4993 0.8943  2 Si 2.54
Te: 0.1630 0.9993 0.3943  2 Si 2.54
Te: 0.8370 0.0007 0.6057  2 Si 2.54
I: 0.1324 0.4987 0.3057  3 Te 3.25-3.59
I: 0.8676 0.5013 0.6943  3 Te 3.25-3.59
I: 0.6324 0.0013 0.1943  3 Te 3.25-3.59
I: 0.3676 0.9987 0.8057  3 Te 3.25-3.59


#B
## SiTe2I (PBE-GGA)

Data for SiTe2I after structural relaxation.

Properties
For the density of states at the Fermi level, the calculation gives 10.44 states/eV/cell. The total magnetic moment comes out at 0.0 Bohr magnetons per cell. The calculation puts the mass density at 4.91 g/cm³. Its volume is 138.8 Å³/f.u.

a = 7.8430 Å, b = 7.8430 Å, c = 7.1510 Å
α = 56.74°, β = 56.74°, γ = 90.00°
Last column: nearest neighbours and their distance in Å.
Fractional coordinates of all 8 atoms:
I: 0.0000 0.0000 0.0000  4 Te 3.46
I: 0.7500 0.2500 0.5000  4 Te 3.46
Si: 0.5000 0.5000 0.0000  4 Te 2.61
Si: 0.2500 0.7500 0.5000  4 Te 2.61
Te: 0.5416 0.1250 0.2500  2 Si 2.61
Te: 0.2084 0.6250 0.2500  2 Si 2.61
Te: 0.3750 0.4584 0.7500  2 Si 2.61
Te: 0.8750 0.7916 0.7500  2 Si 2.61


#C
## SiTe2I (PBE-GGA)

Data for SiTe2I after structural relaxation.

Properties
For the density of states at the Fermi level, the calculation gives 1.52 states/eV/cell. The total magnetic moment comes out at 0.0 Bohr magnetons per cell. The calculation puts the mass density at 5.18 g/cm³. Its volume is 131.5 Å³/f.u.

a = 9.3516 Å, b = 9.3516 Å, c = 9.3516 Å
α = 25.30°, β = 25.30°, γ = 25.30°
Last column: nearest neighbours and their distance in Å.
Fractional coordinates of all 4 atoms:
I: 0.0000 0.0000 0.0000  2 Te 2.99
Si: 0.5000 0.5000 0.5000  6 Te 2.82
Te: 0.8899 0.8899 0.8899  3 Si 2.82, 1 I 2.99
Te: 0.1101 0.1101 0.1101  3 Si 2.82, 1 I 2.99


Tell me which of them is the least stable. Sure, it is #B.


#A
## SiTeI2 (PBE-GGA)

Data for SiTeI2 after structural relaxation.

Properties
For the density of states at the Fermi level, the calculation gives 6.82 states/eV/cell. The total magnetic moment comes out at 0.0 Bohr magnetons per cell. The calculation puts the mass density at 5.83 g/cm³. Its volume is 116.6 Å³/f.u.

a = 5.4833 Å, b = 5.4833 Å, c = 5.4833 Å
α = 60.00°, β = 60.00°, γ = 60.00°
Last column: nearest neighbours and their distance in Å.
Fractional coordinates of all 4 atoms:
I: 0.2500 0.2500 0.2500  4 Te 3.36, 4 Si 3.36
I: 0.7500 0.7500 0.7500  4 Te 3.36, 4 Si 3.36
Si: 0.0000 0.0000 0.0000  8 I 3.36
Te: 0.5000 0.5000 0.5000  8 I 3.36


#B
## SiTeI2 (PBE-GGA)

Data for SiTeI2 after structural relaxation.

Properties
For the density of states at the Fermi level, the calculation gives 7.42 states/eV/cell. The total magnetic moment comes out at 0.0 Bohr magnetons per cell. The calculation puts the mass density at 5.21 g/cm³. Its volume is 130.6 Å³/f.u.

a = 8.6528 Å, b = 8.6528 Å, c = 7.0437 Å
α = 52.10°, β = 52.10°, γ = 90.00°
Last column: nearest neighbours and their distance in Å.
Fractional coordinates of all 8 atoms:
I: 0.5701 0.1250 0.2500  2 Si 2.88
I: 0.1799 0.6250 0.2500  2 Si 2.88
I: 0.3750 0.4299 0.7500  2 Si 2.88
I: 0.8750 0.8201 0.7500  2 Si 2.88
Si: 0.5000 0.5000 0.0000  4 I 2.88
Si: 0.2500 0.7500 0.5000  4 I 2.88
Te: 0.0000 0.0000 0.0000  2 Si 3.49, 8 I 3.52-3.79
Te: 0.7500 0.2500 0.5000  2 Si 3.49, 8 I 3.52-3.79


Tell me which of them is the least stable. Sure, it is #A.


#A
## TlSiTe2I (PBE-GGA)

Data for TlSiTe2I after structural relaxation.

Properties
For the density of states at the Fermi level, the calculation gives 4.20 states/eV/cell. The total magnetic moment comes out at 0.0 Bohr magnetons per cell. The calculation puts the mass density at 6.03 g/cm³. Its volume is 169.3 Å³/f.u.

a = 5.3517 Å, b = 5.3517 Å, c = 5.9119 Å
α = 90.00°, β = 90.00°, γ = 90.00°
Last column: nearest neighbours and their distance in Å.
Fractional coordinates of all 5 atoms:
I: 0.0000 0.0000 0.5000  2 Si 2.96
Tl: 0.5000 0.5000 0.5000  4 I 3.78, 8 Te 3.99
Te: 0.0000 0.5000 0.0000  2 Si 2.68
Te: 0.5000 0.0000 0.0000  2 Si 2.68
Si: 0.0000 0.0000 0.0000  4 Te 2.68, 2 I 2.96


#B
## TlSiTe2I (PBE-GGA)

Data for TlSiTe2I after structural relaxation.

Properties
For the density of states at the Fermi level, the calculation gives 4.06 states/eV/cell. The total magnetic moment comes out at 0.0 Bohr magnetons per cell. The calculation puts the mass density at 5.18 g/cm³. Its volume is 197.2 Å³/f.u.

a = 5.7641 Å, b = 5.7641 Å, c = 5.9345 Å
α = 90.00°, β = 90.00°, γ = 90.00°
Last column: nearest neighbours and their distance in Å.
Fractional coordinates of all 5 atoms:
I: 0.0000 0.0000 0.5000  2 Tl 2.97
Tl: 0.0000 0.0000 0.0000  4 Te 2.88, 2 I 2.97
Te: 0.0000 0.5000 0.0000  2 Tl 2.88
Te: 0.5000 0.0000 0.0000  2 Tl 2.88
Si: 0.5000 0.5000 0.5000  4 I 4.08, 8 Te 4.14


Tell me which of them is the least stable. Sure, it is #B.